(1)
The following is a PBE calculation of a relaxed structure of Ta4NbW3, from Alexandria via LeMat-Bulk.

E_tot	-12.12	eV per atom
symmetry	No. 47
DOS(E_F)	7.0	states/eV/cell
calculated formation energy	-0.081	eV/atom

CIF file:
```
data_Ta4NbW3
_chemical_formula_sum 'Ta4 Nb1 W3'
_cell_length_a 3.260
_cell_length_b 4.604
_cell_length_c 9.219
_cell_angle_alpha 90.00
_cell_angle_beta 90.00
_cell_angle_gamma 90.00
_symmetry_space_group_name_H-M 'P 1'
_symmetry_Int_Tables_number 1
loop_
_symmetry_equiv_pos_as_xyz
'x,y,z'
loop_
_atom_site_label
_atom_site_type_symbol
_atom_site_fract_x
_atom_site_fract_y
_atom_site_fract_z
_atom_site_occupancy
Nb1 Nb 0.500 0.500 0.000 1
W1 W 0.500 0.000 0.251 1
W2 W 0.500 0.500 0.500 1
W3 W 0.500 0.000 0.749 1
Ta1 Ta 0.000 0.000 0.500 1
Ta2 Ta 0.000 0.500 0.745 1
Ta3 Ta 0.000 0.000 0.000 1
Ta4 Ta 0.000 0.500 0.255 1
```



(2)
The following is a PBE calculation of a relaxed structure of Li2Sn3Se8, from Alexandria via LeMat-Bulk.

E_tot	-3.79	eV per atom
symmetry	No. 12
DOS(E_F)	3.5	states/eV/cell
ΔE_f (raw)	-41.44	kJ/mol of atoms

CIF file:
```
data_Li2Sn3Se8
_chemical_formula_sum 'Li2 Sn3 Se8'
_cell_length_a 7.627
_cell_length_b 8.350
_cell_length_c 7.030
_cell_angle_alpha 126.43
_cell_angle_beta 103.86
_cell_angle_gamma 90.00
_symmetry_space_group_name_H-M 'P 1'
_symmetry_Int_Tables_number 1
loop_
_symmetry_equiv_pos_as_xyz
'x,y,z'
loop_
_atom_site_label
_atom_site_type_symbol
_atom_site_fract_x
_atom_site_fract_y
_atom_site_fract_z
_atom_site_occupancy
Li1 Li 0.424 0.300 0.600 1
Li2 Li 0.576 0.700 0.400 1
Sn1 Sn 0.500 0.000 0.000 1
Sn2 Sn 0.000 0.250 0.000 1
Sn3 Sn 0.000 0.750 0.000 1
Se1 Se 0.898 0.641 0.283 1
Se2 Se 0.102 0.359 0.717 1
Se3 Se 0.893 0.151 0.303 1
Se4 Se 0.107 0.849 0.697 1
Se5 Se 0.646 0.624 0.729 1
Se6 Se 0.646 0.106 0.729 1
Se7 Se 0.354 0.894 0.271 1
Se8 Se 0.354 0.376 0.271 1
```



(3)
The following is a PBE calculation of a relaxed structure of As2Cl, from Alexandria via LeMat-Bulk.

E_tot	-3.62	eV per atom
symmetry	No. 194
DOS(E_F)	5.4	states/eV/cell
ΔE_f (raw)	9.37	kJ/mol of atoms

CIF file:
```
data_As2Cl
_chemical_formula_sum 'As8 Cl4'
_cell_length_a 6.741
_cell_length_b 6.741
_cell_length_c 8.352
_cell_angle_alpha 90.00
_cell_angle_beta 90.00
_cell_angle_gamma 120.00
_symmetry_space_group_name_H-M 'P 1'
_symmetry_Int_Tables_number 1
loop_
_symmetry_equiv_pos_as_xyz
'x,y,z'
loop_
_atom_site_label
_atom_site_type_symbol
_atom_site_fract_x
_atom_site_fract_y
_atom_site_fract_z
_atom_site_occupancy
As1 As 0.000 0.000 0.000 1
As2 As 0.000 0.000 0.500 1
As3 As 0.865 0.730 0.250 1
As4 As 0.135 0.270 0.750 1
As5 As 0.270 0.135 0.250 1
As6 As 0.865 0.135 0.250 1
As7 As 0.135 0.865 0.750 1
As8 As 0.730 0.865 0.750 1
Cl1 Cl 0.333 0.667 0.956 1
Cl2 Cl 0.667 0.333 0.456 1
Cl3 Cl 0.667 0.333 0.044 1
Cl4 Cl 0.333 0.667 0.544 1
```